Density functional theory data (PBE) for a relaxed Pa2Al4CuPd3 crystal.

Cell lengths 4.2087, 4.2087, 10.3001 Å; angles 90.00, 90.00, 90.00 degrees
Space group P-4m2 (No. 115)
Inequivalent atoms, fractional coordinates:
Pa  0.0000  0.5000  0.2454 x2
Al  0.0000  0.0000  0.5000 x1
Al  0.0000  0.5000  0.8737 x2
Al  0.5000  0.5000  0.5000 x1
Cu  0.5000  0.5000  0.0000 x1
Pd  0.0000  0.0000  0.0000 x1
Pd  0.0000  0.5000  0.6369 x2

## Properties
- spin magnetization (μB/f.u.) = 0.0
- V (Å³/cell) = 182.4
- ΔE_f (eV/atom) = -0.556

---

Density functional theory data (PBE) for a relaxed Pa2Al4Cu3Pd crystal.

Cell lengths 4.1747, 4.1747, 10.0318 Å; angles 90.00, 90.00, 90.00 degrees
Space group P-4m2 (No. 115)
Inequivalent atoms, fractional coordinates:
Pa  0.0000  0.5000  0.2487 x2
Al  0.0000  0.0000  0.5000 x1
Al  0.0000  0.5000  0.8670 x2
Al  0.5000  0.5000  0.5000 x1
Cu  0.0000  0.0000  0.0000 x1
Cu  0.0000  0.5000  0.6314 x2
Pd  0.5000  0.5000  0.0000 x1

## Properties
- spin magnetization (μB/f.u.) = 0.0
- V (Å³/cell) = 174.8
- ΔE_f (eV/atom) = -0.348

---

Density functional theory data (PBE) for a relaxed Pa2Al4CuPt3 crystal.

Cell lengths 4.1839, 4.1839, 10.3969 Å; angles 90.00, 90.00, 90.00 degrees
Space group P-4m2 (No. 115)
Inequivalent atoms, fractional coordinates:
Pa  0.0000  0.5000  0.2470 x2
Al  0.0000  0.0000  0.5000 x1
Al  0.0000  0.5000  0.8738 x2
Al  0.5000  0.5000  0.5000 x1
Cu  0.5000  0.5000  0.0000 x1
Pt  0.0000  0.0000  0.0000 x1
Pt  0.0000  0.5000  0.6390 x2

## Properties
- spin magnetization (μB/f.u.) = 0.0
- V (Å³/cell) = 182.0
- ΔE_f (eV/atom) = -0.808

---

Density functional theory data (PBE) for a relaxed PaAl2CuPt4 crystal.

Cell lengths 4.2537, 4.2537, 25.6798 Å; angles 90.00, 90.00, 120.00 degrees
Space group R-3m (No. 166, hexagonal axes)
Inequivalent atoms, fractional coordinates:
Pa  0.0000  0.0000  0.0000 x3
Al  0.0000  0.0000  0.2354 x6
Cu  0.0000  0.0000  0.5000 x3
Pt  0.0000  0.0000  0.1301 x6
Pt  0.0000  0.0000  0.3973 x6

## Properties
- spin magnetization (μB/f.u.) = 0.0
- V (Å³/cell) = 402.4
- ΔE_f (eV/atom) = -0.893

---

Density functional theory data (PBE) for a relaxed PaAlCuRh crystal.

Cell lengths 6.5793, 6.5793, 6.5793 Å; angles 90.00, 90.00, 90.00 degrees
Space group F-43m (No. 216)
Inequivalent atoms, fractional coordinates:
Pa  0.0000  0.0000  0.0000 x4
Al  0.0000  0.0000  0.5000 x4
Cu  0.2500  0.2500  0.2500 x4
Rh  0.2500  0.2500  0.7500 x4

## Properties
- spin magnetization (μB/f.u.) = 0.0
- V (Å³/cell) = 284.8
- ΔE_f (eV/atom) = -0.409

---

Density functional theory data (PBE) for a relaxed Pa2AlCu4Si3 crystal.

Cell lengths 4.0468, 4.0468, 9.8423 Å; angles 90.00, 90.00, 90.00 degrees
Space group P-4m2 (No. 115)
Inequivalent atoms, fractional coordinates:
Pa  0.0000  0.5000  0.2425 x2
Al  0.0000  0.0000  0.5000 x1
Cu  0.0000  0.0000  0.0000 x1
Cu  0.0000  0.5000  0.6338 x2
Cu  0.5000  0.5000  0.0000 x1
Si  0.0000  0.5000  0.8670 x2
Si  0.5000  0.5000  0.5000 x1

## Properties
- raw formation energy (meV per atom) = -403
- spin magnetization (μB/f.u.) = 0.0
- V (Å³/cell) = 161.2

---

Density functional theory data (PBE) for a relaxed TbPaAlCu crystal.

Cell lengths 7.0721, 7.0721, 7.0721 Å; angles 90.00, 90.00, 90.00 degrees
Space group F-43m (No. 216)
Inequivalent atoms, fractional coordinates:
Tb  0.0000  0.0000  0.0000 x4
Pa  0.0000  0.0000  0.5000 x4
Al  0.2500  0.2500  0.7500 x4
Cu  0.2500  0.2500  0.2500 x4

## Properties
- spin magnetization (μB/f.u.) = 0.0
- V (Å³/cell) = 353.7
- ΔE_f (eV/atom) = 0.006

---

Density functional theory data (PBE) for a relaxed PaAlCuTc crystal.

Cell lengths 6.5424, 6.5424, 6.5424 Å; angles 90.00, 90.00, 90.00 degrees
Space group F-43m (No. 216)
Inequivalent atoms, fractional coordinates:
Pa  0.0000  0.0000  0.0000 x4
Al  0.0000  0.0000  0.5000 x4
Cu  0.2500  0.2500  0.2500 x4
Tc  0.2500  0.2500  0.7500 x4

## Properties
- spin magnetization (μB/f.u.) = 0.0
- V (Å³/cell) = 280.0
- ΔE_f (eV/atom) = -0.120

---

Density functional theory data (PBE) for a relaxed TmPaAlCu crystal.

Cell lengths 7.0151, 7.0151, 7.0151 Å; angles 90.00, 90.00, 90.00 degrees
Space group F-43m (No. 216)
Inequivalent atoms, fractional coordinates:
Tm  0.0000  0.0000  0.0000 x4
Pa  0.0000  0.0000  0.5000 x4
Al  0.2500  0.2500  0.2500 x4
Cu  0.2500  0.2500  0.7500 x4

## Properties
- spin magnetization (μB/f.u.) = 0.0
- V (Å³/cell) = 345.2
- ΔE_f (eV/atom) = -0.026

---

Density functional theory data (PBE) for a relaxed YPaAlCu crystal.

Cell lengths 7.0705, 7.0705, 7.0705 Å; angles 90.00, 90.00, 90.00 degrees
Space group F-43m (No. 216)
Inequivalent atoms, fractional coordinates:
Y  0.0000  0.0000  0.0000 x4
Pa  0.0000  0.0000  0.5000 x4
Al  0.2500  0.2500  0.7500 x4
Cu  0.2500  0.2500  0.2500 x4

## Properties
- spin magnetization (μB/f.u.) = 0.0
- V (Å³/cell) = 353.5
- ΔE_f (eV/atom) = -0.005

---

Density functional theory data (PBE) for a relaxed Pa2Al4ZnCu3 crystal.

Cell lengths 4.1631, 4.1631, 10.0637 Å; angles 90.00, 90.00, 90.00 degrees
Space group P-4m2 (No. 115)
Inequivalent atoms, fractional coordinates:
Pa  0.0000  0.5000  0.2486 x2
Al  0.0000  0.0000  0.5000 x1
Al  0.0000  0.5000  0.8649 x2
Al  0.5000  0.5000  0.5000 x1
Zn  0.5000  0.5000  0.0000 x1
Cu  0.0000  0.0000  0.0000 x1
Cu  0.0000  0.5000  0.6315 x2

## Properties
- spin magnetization (μB/f.u.) = 0.0
- V (Å³/cell) = 174.4
- ΔE_f (eV/atom) = -0.246

---

Density functional theory data (PBE) for a relaxed PaAl2ZnCu4 crystal.

Cell lengths 4.1650, 4.1650, 24.7822 Å; angles 90.00, 90.00, 120.00 degrees
Space group R-3m (No. 166, hexagonal axes)
Inequivalent atoms, fractional coordinates:
Pa  0.0000  0.0000  0.0000 x3
Al  0.0000  0.0000  0.2433 x6
Zn  0.0000  0.0000  0.5000 x3
Cu  0.0000  0.0000  0.1303 x6
Cu  0.0000  0.0000  0.3998 x6

## Properties
- spin magnetization (μB/f.u.) = 0.0
- V (Å³/cell) = 372.3
- ΔE_f (eV/atom) = -0.148

---

Density functional theory data (PBE) for a relaxed AlCuPb2 crystal.

Cell lengths 7.2793, 7.2793, 7.2793 Å; angles 90.00, 90.00, 90.00 degrees
Space group F-43m (No. 216)
Inequivalent atoms, fractional coordinates:
Al  0.0000  0.0000  0.0000 x4
Cu  0.2500  0.2500  0.2500 x4
Pb  0.0000  0.0000  0.5000 x4
Pb  0.2500  0.2500  0.7500 x4

## Properties
- spin magnetization (μB/f.u.) = 0.0
- V (Å³/cell) = 385.7
- ΔE_f (eV/atom) = 0.380

---

Density functional theory data (PBE) for a relaxed AlCuPb crystal.

Cell lengths 3.1552, 3.1552, 12.0744 Å; angles 90.00, 90.00, 90.00 degrees
Space group I4mm (No. 107)
Inequivalent atoms, fractional coordinates:
Al  0.0000  0.0000  0.0000 x2
Cu  0.0000  0.0000  0.6035 x2
Pb  0.0000  0.0000  0.2895 x2

## Properties
- spin magnetization (μB/f.u.) = 0.0
- V (Å³/cell) = 120.2
- ΔE_f (eV/atom) = 0.161

---

Density functional theory data (PBE) for a relaxed AlCuPb crystal.

Cell lengths 4.1124, 4.1139, 9.1105 Å; angles 90.66, 101.94, 119.96 degrees
Space group P1 (No. 1)
Inequivalent atoms, fractional coordinates:
Al  0.0000  0.0000  0.0000 x1
Al  0.2088  0.5998  0.8018 x1
Cu  0.3856  0.6944  0.0838 x1
Cu  0.6152  0.3059  0.9176 x1
Pb  0.7447  0.8616  0.5934 x1
Pb  0.8396  0.4258  0.2739 x1

## Properties
- spin magnetization (μB/f.u.) = 0.0
- V (Å³/cell) = 129.4
- ΔE_f (eV/atom) = 0.037

---

Density functional theory data (PBE) for a relaxed Al2CuPb crystal.

Cell lengths 4.5674, 4.5674, 16.7190 Å; angles 90.00, 90.00, 90.00 degrees
Space group I-42d (No. 122)
Inequivalent atoms, fractional coordinates:
Al  0.1500  0.2500  0.1250 x8
Cu  0.0000  0.0000  0.0000 x4
Pb  0.0000  0.0000  0.5000 x4

## Properties
- spin magnetization (μB/f.u.) = 0.0
- V (Å³/cell) = 348.8
- ΔE_f (eV/atom) = 0.221

---

Density functional theory data (PBE) for a relaxed AlCu2Pb crystal.

Cell lengths 7.2210, 7.2210, 5.9069 Å; angles 90.00, 90.00, 90.00 degrees
Space group I-42d (No. 122)
Inequivalent atoms, fractional coordinates:
Al  0.0000  0.0000  0.0000 x4
Cu  0.2100  0.7500  0.1250 x8
Pb  0.0000  0.0000  0.5000 x4

## Properties
- excess energy over the best structure of this formula in the dataset (eV per atom) = 0.245
- spin magnetization (μB/f.u.) = 0.0
- V (Å³/cell) = 308.0
- ΔE_f (eV/atom) = 0.352

---

Density functional theory data (PBE) for a relaxed AlCuPb2 crystal.

Cell lengths 3.3247, 5.3140, 10.5891 Å; angles 90.00, 90.00, 90.00 degrees
Space group Imm2 (No. 44)
Inequivalent atoms, fractional coordinates:
Al  0.0000  0.0000  0.0000 x2
Cu  0.0000  0.5000  0.6782 x2
Pb  0.0000  0.0000  0.4211 x2
Pb  0.0000  0.5000  0.2172 x2

## Properties
- spin magnetization (μB/f.u.) = 0.0
- V (Å³/cell) = 187.1
- ΔE_f (eV/atom) = 0.229

---

Density functional theory data (PBE) for a relaxed AlCuPb crystal.

Cell lengths 7.1133, 4.1058, 9.3778 Å; angles 90.00, 104.55, 90.00 degrees
Space group Cm (No. 8)
Inequivalent atoms, fractional coordinates:
Al  0.0000  0.0000  0.0000 x2
Al  0.2339  0.5000  0.2026 x2
Cu  0.0908  0.0000  0.2738 x2
Cu  0.3722  0.0000  0.1176 x2
Pb  0.2652  0.0000  0.7939 x2
Pb  0.4855  0.0000  0.4586 x2

## Properties
- spin magnetization (μB/f.u.) = 0.0
- V (Å³/cell) = 265.1
- ΔE_f (eV/atom) = -0.006

---

Density functional theory data (PBE) for a relaxed Al2CuPb crystal.

Cell lengths 8.0059, 3.2725, 6.3198 Å; angles 90.00, 102.30, 90.00 degrees
Space group C2/m (No. 12)
Inequivalent atoms, fractional coordinates:
Al  0.2316  0.0000  0.1681 x4
Cu  0.0000  0.5000  0.0000 x2
Pb  0.0000  0.0000  0.5000 x2

## Properties
- spin magnetization (μB/f.u.) = 0.0
- V (Å³/cell) = 161.8
- ΔE_f (eV/atom) = 0.135

---

Density functional theory data (PBE) for a relaxed Al2CuPb crystal.

Cell lengths 2.9890, 3.0910, 8.4438 Å; angles 90.00, 90.00, 90.00 degrees
Space group Pmmm (No. 47)
Inequivalent atoms, fractional coordinates:
Al  0.0000  0.0000  0.1813 x2
Cu  0.5000  0.5000  0.0000 x1
Pb  0.5000  0.5000  0.5000 x1

## Properties
- spin magnetization (μB/f.u.) = 0.0
- V (Å³/cell) = 78.0
- ΔE_f (eV/atom) = 0.127

---

Density functional theory data (PBE) for a relaxed AlCu2Pb crystal.

Cell lengths 3.4041, 4.1256, 5.3206 Å; angles 90.00, 108.43, 90.00 degrees
Space group Pm (No. 6)
Inequivalent atoms, fractional coordinates:
Al  0.0000  0.0000  0.0000 x1
Cu  0.5550  0.5000  0.1136 x1
Cu  0.6997  0.0000  0.3992 x1
Pb  0.2897  0.5000  0.5836 x1

## Properties
- excess energy over the best structure of this formula in the dataset (eV per atom) = 0.027
- spin magnetization (μB/f.u.) = 0.0
- V (Å³/cell) = 70.9
- ΔE_f (eV/atom) = 0.134

---

Density functional theory data (PBE) for a relaxed AlCu2Pb crystal.

Cell lengths 8.3019, 3.0868, 5.8361 Å; angles 90.00, 101.78, 90.00 degrees
Space group C2/m (No. 12)
Inequivalent atoms, fractional coordinates:
Al  0.0000  0.0000  0.0000 x2
Cu  0.2365  0.5000  0.1698 x4
Pb  0.0000  0.5000  0.5000 x2

## Properties
- excess energy over the best structure of this formula in the dataset (eV per atom) = 0.027
- spin magnetization (μB/f.u.) = 0.0
- V (Å³/cell) = 146.4
- ΔE_f (eV/atom) = 0.134

---

Density functional theory data (PBE) for a relaxed AlCuPb crystal.

Cell lengths 5.5702, 5.9335, 7.1420 Å; angles 90.00, 90.00, 90.00 degrees
Space group Imma (No. 74)
Inequivalent atoms, fractional coordinates:
Al  0.0000  0.0000  0.0000 x4
Cu  0.2500  0.2500  0.2500 x4
Pb  0.0000  0.2500  0.6145 x4

## Properties
- spin magnetization (μB/f.u.) = 0.0
- V (Å³/cell) = 236.0
- ΔE_f (eV/atom) = 0.142

---

Density functional theory data (PBE) for a relaxed AlCuPb crystal.

Cell lengths 4.0341, 4.0341, 7.2781 Å; angles 90.00, 90.00, 90.00 degrees
Space group P4/nmm (No. 129, origin choice 2)
Inequivalent atoms, fractional coordinates:
Al  0.2500  0.7500  0.0000 x2
Cu  0.2500  0.2500  0.2136 x2
Pb  0.2500  0.2500  0.6386 x2

## Properties
- spin magnetization (μB/f.u.) = 0.0
- V (Å³/cell) = 118.4
- ΔE_f (eV/atom) = 0.026

---

Density functional theory data (PBE) for a relaxed AlCu2Pb crystal.

Cell lengths 4.0471, 4.0471, 8.4914 Å; angles 90.00, 90.00, 90.00 degrees
Space group I-4m2 (No. 119)
Inequivalent atoms, fractional coordinates:
Al  0.0000  0.0000  0.0000 x2
Cu  0.0000  0.0000  0.5000 x2
Cu  0.0000  0.5000  0.7500 x2
Pb  0.0000  0.5000  0.2500 x2

## Properties
- excess energy over the best structure of this formula in the dataset (eV per atom) = 0.161
- spin magnetization (μB/f.u.) = 0.0
- V (Å³/cell) = 139.1
- ΔE_f (eV/atom) = 0.268

---

Density functional theory data (PBE) for a relaxed AlCuPb crystal.

Cell lengths 3.6009, 3.5730, 9.9818 Å; angles 90.00, 99.19, 90.00 degrees
Space group Pm (No. 6)
Inequivalent atoms, fractional coordinates:
Al  0.0000  0.0000  0.0000 x1
Al  0.4017  0.0000  0.7788 x1
Cu  0.4969  0.5000  0.9910 x1
Cu  0.9111  0.5000  0.8028 x1
Pb  0.2365  0.5000  0.5350 x1
Pb  0.6109  0.0000  0.2467 x1

## Properties
- spin magnetization (μB/f.u.) = 0.0
- V (Å³/cell) = 126.8
- ΔE_f (eV/atom) = 0.030